This record from Alexandria describes a relaxed TePAuCl2 crystal. The functional is GGA-PBE.

**D(E_F)**: 3.0 states/eV/cell
**Offset from the most stable computed form**: 0 meV/atom
**Final energy**: -13.243 eV/cell

Lattice parameters (Å, degrees): 4.8492 4.8492 5.2570 90.00 90.00 90.00
Closest atoms and distances in Å follow each position.
Sites, in units of the cell vectors:
1 Te 0.0000 0.0000 0.0000  4 P 3.43, 8 Cl 3.58
2 P 0.5000 0.5000 0.0000  2 Au 2.63
3 Au 0.5000 0.5000 0.5000  4 Cl 2.42, 2 P 2.63
4 Cl 0.0000 0.5000 0.5000  2 Au 2.42
5 Cl 0.5000 0.0000 0.5000  2 Au 2.42